A plane-wave DFT calculation with PBE+U was carried out for a geometry-optimized RbAcMnO3 structure.

* total magnetization: 0.833 μB per atom
* mass density: 5.30 g cm⁻³
* total energy: -80.45 eV for the cell shown
* space group: Cmcm (63)

Unit cell a=3.876 b=6.668 c=10.529 alpha=90.00 beta=90.00 gamma=106.89
Positions (direct):
Rb: 0.745 0.491 0.750
Rb: 0.255 0.509 0.250
Ac: 0.000 0.000 0.500
Ac: 0.000 0.000 0.000
Mn: 0.472 0.943 0.750
Mn: 0.528 0.057 0.250
O: 0.604 0.207 0.418
O: 0.396 0.793 0.582
O: 0.396 0.793 0.918
O: 0.604 0.207 0.082
O: 0.048 0.096 0.750
O: 0.952 0.904 0.250